# 1
First-principles (PBE) data for a relaxed structure of MgW2Au, as listed in the Alexandria database.

Computed properties:
Its volume is 16.845 Å³/atom. The electronic total energy is -29.33 eV for the cell shown. As for the space-group type: P2/m (10).

Geometry as CIF:
```
data_MgW2Au
_chemical_formula_sum 'Mg1 W2 Au1'
_symmetry_space_group_name_H-M 'P 1'
_symmetry_Int_Tables_number 1
_cell_length_a 2.7452
_cell_length_b 4.8147
_cell_length_c 5.2317
_cell_angle_alpha 90.00
_cell_angle_beta 103.00
_cell_angle_gamma 90.00
loop_
_symmetry_equiv_pos_as_xyz
'x,y,z'
loop_
_atom_site_label
_atom_site_fract_x
_atom_site_fract_y
_atom_site_fract_z
Mg1 0.0000 0.0000 0.0000
W1 0.2748 0.5000 0.7575
W2 0.7252 0.5000 0.2425
Au1 0.5000 0.0000 0.5000
```

***

# 2
First-principles (PBE) data for a relaxed structure of MgW2Au, as listed in the Alexandria database.

Computed properties:
Its volume is 16.762 Å³/atom. The electronic total energy is -29.23 eV for the cell shown. As for the space-group type: Pmmm (47).

Geometry as CIF:
```
data_MgW2Au
_chemical_formula_sum 'Mg1 W2 Au1'
_symmetry_space_group_name_H-M 'P 1'
_symmetry_Int_Tables_number 1
_cell_length_a 2.7524
_cell_length_b 4.5362
_cell_length_c 5.3699
_cell_angle_alpha 90.00
_cell_angle_beta 90.00
_cell_angle_gamma 90.00
loop_
_symmetry_equiv_pos_as_xyz
'x,y,z'
loop_
_atom_site_label
_atom_site_fract_x
_atom_site_fract_y
_atom_site_fract_z
Mg1 0.0000 0.0000 0.0000
W1 0.5000 0.5000 0.2437
W2 0.5000 0.5000 0.7563
Au1 0.0000 0.0000 0.5000
```

***

# 3
First-principles (PBE) data for a relaxed structure of Mg2WAu, as listed in the Alexandria database.

Computed properties:
Its volume is 19.084 Å³/atom. The value obtained for the energy above the lowest structure with this stoichiometry is 671.4 meV/atom. As for the space-group type: I-42d (122).

Geometry as CIF:
```
data_Mg2WAu
_chemical_formula_sum 'Mg4 W2 Au2'
_symmetry_space_group_name_H-M 'P 1'
_symmetry_Int_Tables_number 1
_cell_length_a 5.9262
_cell_length_b 5.9262
_cell_length_c 5.9262
_cell_angle_alpha 102.86
_cell_angle_beta 102.86
_cell_angle_gamma 123.70
loop_
_symmetry_equiv_pos_as_xyz
'x,y,z'
loop_
_atom_site_label
_atom_site_fract_x
_atom_site_fract_y
_atom_site_fract_z
Mg1 0.1031 0.6250 0.9781
Mg2 0.3750 0.3531 0.4781
Mg3 0.6469 0.1250 0.0219
Mg4 0.8750 0.8969 0.5219
W1 0.2500 0.7500 0.5000
W2 0.5000 0.5000 0.0000
Au1 0.0000 0.0000 0.0000
Au2 0.7500 0.2500 0.5000
```

***

Look up the volume of the second one. 16.762 Å³/atom

***

Among the records above, which one has the lowest volume? number 2

***

Which value of volume does entry 2 give? 16.762 Å³/atom

***

The highest volume belongs to which entry? Mg2WAu